DFT (PBE-GGA) results for GaBi3Cl after structural relaxation.

Structure (extended XYZ):
```
10
Lattice="-4.952 -5.006 4.656 2.832 -5.296 -2.683 2.172 3.987 6.599" Properties=species:S:1:pos:R:3 pbc="T T T"
Cl 0.764 -0.079 4.556
Cl -0.713 -6.237 4.016
Ga -2.475 -2.503 2.329
Ga 5.003 -1.309 3.915
Bi 0.373 -2.622 1.403
Bi -1.445 -1.166 8.691
Bi -2.686 -3.267 5.111
Bi -0.321 -3.693 7.168
Bi 1.496 -5.150 -0.119
Bi 2.737 -3.049 3.461
```

Output
- energy above the lowest structure with this stoichiometry (meV/atom) = 0
- DFT total energy (eV/f.u.) = -16.50
- ΔE_f (raw) (meV per atom) = 3
- total magnetic moment (μB per atom) = 0.000
- SG = P2_1/m (11)
- calculated volume (Å³ per atom) = 34.89
- calculated density (g/cm3) = 6.97